# 1
Here is an optimized crystal structure of Sr2ZrRu from Alexandria via LeMat-Bulk. Energies are from PBE.

Formation energy from the elements ... 0.762 eV/atom
ΔE to the lowest computed polymorph ... 710.6 meV/atom

Cell lengths 5.9277, 10.4469, 3.3600 Å; angles 90.00, 90.00, 90.00 degrees
Closest atoms and distances in Å follow each position.
Space group Cmmm (No. 65)
One atom of each set of equivalent atoms:
Sr 0.2500 0.2500 0.0000 [4 per cell]  2 Sr 2.96
Zr 0.0000 0.0000 0.5000 [2 per cell]  2 Ru 2.96
Ru 0.0000 0.5000 0.5000 [2 per cell]  2 Zr 2.96

=====

# 2
Here is an optimized crystal structure of Sm2Th4Rh9 from Alexandria via LeMat-Bulk. Energies are from PBE.

Formation energy from the elements ... -0.751 eV/atom

Cell lengths 4.6523, 4.6523, 17.2604 Å; angles 90.00, 90.00, 120.00 degrees
Closest atoms and distances in Å follow each position.
Space group P-3m1 (No. 164)
One atom of each set of equivalent atoms:
Sm 0.3333 0.6667 0.2513 [2 per cell]  8 Rh 2.95-3.13
Th 0.3333 0.6667 0.6019 [2 per cell]  7 Rh 2.75-2.93
Th 0.3333 0.6667 0.9048 [2 per cell]  6 Rh 2.70-2.97
Rh 0.0000 0.0000 0.0000 [1 per cell]  8 Rh 2.90-3.02, 6 Th 3.15
Rh 0.0000 0.0000 0.1680 [2 per cell]  5 Rh 2.90-3.08, 3 Th 2.97, 3 Sm 3.05
Rh 0.0000 0.0000 0.3371 [2 per cell]  3 Th 2.88, 4 Rh 2.92-3.15, 3 Sm 3.07
Rh 0.3333 0.6667 0.0802 [2 per cell]  3 Th 2.70, 1 Sm 2.95, 3 Rh 3.02
Rh 0.3333 0.6667 0.4324 [2 per cell]  4 Th 2.75-2.93

=====

# 3
Here is an optimized crystal structure of KSb2Te from Alexandria via LeMat-Bulk. Energies are from PBE.

ΔE_f (raw) ... -0.01 eV/atom

Cell lengths 6.7474, 11.1657, 3.1916 Å; angles 90.00, 90.00, 90.00 degrees
Closest atoms and distances in Å follow each position.
Space group Cmmm (No. 65)
One atom of each set of equivalent atoms:
K 0.0000 0.0000 0.0000 [2 per cell]  2 K 3.19, 2 Te 3.37
Sb 0.2500 0.2500 0.5000 [4 per cell]  4 Sb 3.19-3.37
Te 0.0000 0.5000 0.0000 [2 per cell]  2 Te 3.19, 2 K 3.37

=====

# 4
Here is an optimized crystal structure of KSbSe from Alexandria via LeMat-Bulk. Energies are from PBE.

ΔE_f (raw) ... -0.18 eV/atom
ΔE to the lowest computed polymorph ... 505.3 meV/atom

Cell lengths 4.0532, 4.0532, 7.1230 Å; angles 90.00, 90.00, 120.00 degrees
Closest atoms and distances in Å follow each position.
Space group P3m1 (No. 156)
One atom of each set of equivalent atoms:
K 0.0000 0.0000 0.0000 [1 per cell]  3 Se 3.32
Sb 0.3333 0.6667 0.4325 [1 per cell]  3 Se 2.89
Se 0.6667 0.3333 0.6703 [1 per cell]  3 Sb 2.89

=====

# 5
Here is an optimized crystal structure of LiSi2Pd from Alexandria via LeMat-Bulk. Energies are from PBE.

ΔE_f (raw) ... -0.43 eV/atom

Cell lengths 4.1776, 9.4013, 6.1192 Å; angles 90.00, 90.00, 90.00 degrees
Closest atoms and distances in Å follow each position.
Space group Cmcm (No. 63)
One atom of each set of equivalent atoms:
Li 0.0000 0.0849 0.2500 [4 per cell]  3 Pd 2.72-2.88, 6 Si 2.81-3.01
Si 0.0000 0.3774 0.0518 [8 per cell]  2 Si 2.39-2.43, 3 Pd 2.46-2.54
Pd 0.0000 0.2046 0.7500 [4 per cell]  6 Si 2.46-2.54, 1 Li 2.72

=====

# 6
Here is an optimized crystal structure of Ce3SnPd12 from Alexandria via LeMat-Bulk. Energies are from PBE.

Formation energy from the elements ... -0.737 eV/atom

Cell lengths 4.1393, 4.1393, 16.4382 Å; angles 90.00, 90.00, 90.00 degrees
Closest atoms and distances in Å follow each position.
Space group P4/mmm (No. 123)
One atom of each set of equivalent atoms:
Ce 0.0000 0.0000 0.0000 [1 per cell]  12 Pd 2.93-2.94
Ce 0.0000 0.0000 0.2547 [2 per cell]  12 Pd 2.91-2.95
Sn 0.0000 0.0000 0.5000 [1 per cell]  12 Pd 2.87-2.93
Pd 0.0000 0.5000 0.1270 [4 per cell]  8 Pd 2.93-2.94, 4 Ce 2.94-2.95
Pd 0.0000 0.5000 0.3792 [4 per cell]  2 Sn 2.87, 8 Pd 2.87-2.93, 2 Ce 2.91
Pd 0.5000 0.5000 0.0000 [1 per cell]  4 Ce 2.93, 8 Pd 2.94
Pd 0.5000 0.5000 0.2541 [2 per cell]  8 Pd 2.92-2.94, 4 Ce 2.93
Pd 0.5000 0.5000 0.5000 [1 per cell]  8 Pd 2.87, 4 Sn 2.93

=====

# 7
Here is an optimized crystal structure of MgGePd2S from Alexandria via LeMat-Bulk. Energies are from PBE.

ΔE_f (raw) ... 0.31 eV/atom

Cell lengths 4.6190, 4.6190, 5.1093 Å; angles 90.00, 90.00, 90.00 degrees
Closest atoms and distances in Å follow each position.
Space group P4/mmm (No. 123)
One atom of each set of equivalent atoms:
Mg 0.0000 0.0000 0.0000 [1 per cell]  2 Ge 2.55
Ge 0.0000 0.0000 0.5000 [1 per cell]  4 Pd 2.31, 2 Mg 2.55
Pd 0.0000 0.5000 0.5000 [2 per cell]  2 Ge 2.31
S 0.5000 0.5000 0.0000 [1 per cell]  4 Mg 3.27, 8 Pd 3.44

=====

# 8
Here is an optimized crystal structure of CeAl2Au2 from Alexandria via LeMat-Bulk. Energies are from PBE.

Formation energy from the elements ... -0.684 eV/atom
ΔE to the lowest computed polymorph ... 0.0 meV/atom

Cell lengths 4.4279, 4.4279, 10.4483 Å; angles 90.00, 90.00, 90.00 degrees
Closest atoms and distances in Å follow each position.
Space group P4/nmm (No. 129, origin choice 2)
One atom of each set of equivalent atoms:
Ce 0.2500 0.2500 0.2484 [2 per cell]  8 Al 3.36-3.44, 8 Au 3.38-3.41
Al 0.2500 0.2500 0.8688 [2 per cell]  5 Au 2.50-2.60
Al 0.2500 0.7500 0.5000 [2 per cell]  4 Au 2.60
Au 0.2500 0.2500 0.6296 [2 per cell]  5 Al 2.50-2.60
Au 0.2500 0.7500 0.0000 [2 per cell]  4 Al 2.60

=====

Size of the total moment readings, ordered: 0.1, 0.0, 0.0, 0.0, 0.0, 0.9, 0.0, 1.6 Bohr magnetons per cell
Calculated volume readings, ordered: 26.0, 21.6, 30.1, 33.8, 15.0, 17.6, 21.8, 20.5 Å³/atom
Raw total energy readings, ordered: -36.3, -116.5, -25.1, -9.3, -78.6, -95.9, -19.2, -46.8 eV per cell